w | LaCo3Cu: optimized geometry, PBE-GGA.

Cell lengths 4.466, 4.466, 4.466 Å; angles 90.00, 90.00, 90.00 degrees
Element x y z (fractional)
La  0.000  0.000  0.000
Co  0.000  0.500  0.500
Co  0.500  0.000  0.500
Co  0.500  0.500  0.000
Cu  0.500  0.500  0.500

Calculated values
Space-group type = Pm-3m, No. 221
Total magnetization = 3.9 μB/f.u.

=====

x | LaCo3Cu: optimized geometry, PBE-GGA.

Cell lengths 4.570, 4.570, 4.570 Å; angles 90.00, 90.00, 90.00 degrees
Element x y z (fractional)
La  0.000  0.000  0.000
Co  0.000  0.000  0.500
Co  0.000  0.500  0.000
Co  0.500  0.000  0.000
Cu  0.500  0.500  0.500

Calculated values
Space-group type = Pm-3m, No. 221
Total magnetization = 2.2 μB/f.u.

=====

Structures ranked by computed energy, the most stable listed first: w, x.

=====

w | LaPrCoCu: optimized geometry, PBE-GGA.

Cell lengths 5.034, 5.034, 5.034 Å; angles 60.00, 60.00, 60.00 degrees
Element x y z (fractional)
La  0.000  0.000  0.000
Pr  0.500  0.500  0.500
Co  0.750  0.750  0.750
Cu  0.250  0.250  0.250

Calculated values
Space-group type = F-43m, No. 216
Total magnetization = 0.0 μB/f.u.

=====

x | LaPrCoCu: optimized geometry, PBE-GGA.

Cell lengths 4.307, 5.817, 5.817 Å; angles 39.75, 90.00, 90.00 degrees
Element x y z (fractional)
La  0.000  0.000  0.000
Pr  0.500  0.275  0.275
Co  0.500  0.566  0.566
Cu  0.000  0.703  0.703

Calculated values
Space-group type = Amm2, No. 38
Total magnetization = 0.0 μB/f.u.

=====

Structures ranked by computed energy, the most stable listed first: x, w.

=====

w | LaSmCoCu: optimized geometry, PBE-GGA.

Cell lengths 4.985, 4.985, 4.985 Å; angles 60.00, 60.00, 60.00 degrees
Element x y z (fractional)
La  0.000  0.000  0.000
Sm  0.500  0.500  0.500
Co  0.250  0.250  0.250
Cu  0.750  0.750  0.750

Calculated values
Space-group type = F-43m, No. 216
Total magnetization = 0.0 μB/f.u.

=====

x | LaSmCoCu: optimized geometry, PBE-GGA.

Cell lengths 4.291, 5.745, 5.745 Å; angles 39.73, 90.00, 90.00 degrees
Element x y z (fractional)
La  0.000  0.000  0.000
Sm  0.500  0.726  0.726
Co  0.500  0.432  0.432
Cu  0.000  0.294  0.294

Calculated values
Space-group type = Amm2, No. 38
Total magnetization = 0.0 μB/f.u.

=====

Structures ranked by computed energy, the most stable listed first: x, w.

=====

w | LaYCoCu: optimized geometry, PBE-GGA.

Cell lengths 4.238, 5.725, 5.725 Å; angles 39.54, 90.00, 90.00 degrees
Element x y z (fractional)
La  0.000  0.000  0.000
Y  0.500  0.726  0.726
Co  0.500  0.432  0.432
Cu  0.000  0.291  0.291

Calculated values
Space-group type = Amm2, No. 38
Total magnetization = 0.0 μB/f.u.

=====

x | LaYCoCu: optimized geometry, PBE-GGA.

Cell lengths 4.946, 4.946, 4.946 Å; angles 60.00, 60.00, 60.00 degrees
Element x y z (fractional)
La  0.000  0.000  0.000
Y  0.500  0.500  0.500
Co  0.250  0.250  0.250
Cu  0.750  0.750  0.750

Calculated values
Space-group type = F-43m, No. 216
Total magnetization = 0.0 μB/f.u.

=====

Structures ranked by computed energy, the most stable listed first: w, x.

=====

w | LiCoCu2: optimized geometry, PBE-GGA.

Cell lengths 4.425, 4.425, 4.584 Å; angles 97.05, 97.05, 32.08 degrees
Element x y z (fractional)
Li  0.000  0.000  0.000
Co  0.500  0.500  0.500
Cu  0.243  0.243  0.744
Cu  0.757  0.757  0.256

Calculated values
Space-group type = C2/m, No. 12
Total magnetization = 1.4 μB/f.u.

=====

x | LiCoCu2: optimized geometry, PBE-GGA.

Cell lengths 2.461, 3.771, 5.094 Å; angles 90.00, 90.00, 90.00 degrees
Element x y z (fractional)
Li  0.000  0.000  0.000
Co  0.000  0.000  0.500
Cu  0.500  0.500  0.257
Cu  0.500  0.500  0.743

Calculated values
Space-group type = Pmmm, No. 47
Total magnetization = 1.5 μB/f.u.

=====

y | LiCoCu2: optimized geometry, PBE-GGA.

Cell lengths 2.491, 2.491, 7.800 Å; angles 90.00, 90.00, 90.00 degrees
Element x y z (fractional)
Li  0.000  0.000  0.000
Co  0.000  0.000  0.500
Cu  0.500  0.500  0.261
Cu  0.500  0.500  0.739

Calculated values
Space-group type = P4/mmm, No. 123
Total magnetization = 1.7 μB/f.u.

=====

Structures ranked by computed energy, the most stable listed first: y, x, w.

=====

w | LiCoCu2: optimized geometry, PBE-GGA.

Cell lengths 2.465, 2.465, 8.588 Å; angles 90.00, 90.00, 113.73 degrees
Element x y z (fractional)
Li  0.000  0.000  0.000
Co  0.500  0.500  0.751
Cu  0.000  0.000  0.506
Cu  0.500  0.500  0.256

Calculated values
Space-group type = Cmm2, No. 35
Total magnetization = 1.4 μB/f.u.

=====

x | LiCoCu2: optimized geometry, PBE-GGA.

Cell lengths 5.044, 5.044, 5.044 Å; angles 150.91, 129.37, 59.46 degrees
Element x y z (fractional)
Li  0.000  0.000  0.000
Co  0.262  0.762  0.500
Cu  0.502  0.502  0.000
Cu  0.744  0.244  0.500

Calculated values
Space-group type = Imm2, No. 44
Total magnetization = 1.3 μB/f.u.

=====

Structures ranked by computed energy, the most stable listed first: w, x.